No. 1
28
Lattice="6.052 0.000 0.000 0.000 9.209 0.000 0.000 0.000 11.687" Properties=species:S:1:pos:R:3 comment="HoCd6 | Alexandria via LeMat-Bulk | PBE | optimized geometry" delta_e_f_ev_per_atom=-0.091 e_above_lowest_polymorph_mev_per_atom=0 n_ef_per_ev_fu=3.15 space_group="No. 62" crystal_system=orthorhombic pbc="T T T"
Ho 4.539 2.232 10.975
Ho 1.513 6.977 0.713
Ho 4.539 6.836 6.556
Ho 1.513 2.373 5.131
Cd 4.539 5.606 0.288
Cd 1.513 3.603 11.399
Cd 4.539 1.001 5.556
Cd 1.513 8.208 6.132
Cd 0.091 4.019 2.220
Cd 3.117 5.190 9.467
Cd 2.935 8.624 3.624
Cd 5.960 0.585 8.064
Cd 5.960 5.190 9.467
Cd 2.935 4.019 2.220
Cd 3.117 0.585 8.064
Cd 0.091 8.624 3.624
Cd 1.513 1.255 1.787
Cd 4.539 7.955 9.901
Cd 1.513 5.859 4.057
Cd 4.539 3.350 7.630
Cd 1.513 7.456 8.967
Cd 4.539 1.753 2.720
Cd 1.513 2.851 8.564
Cd 4.539 6.358 3.123
Cd 1.513 5.174 6.803
Cd 4.539 4.035 4.885
Cd 1.513 0.570 10.728
Cd 4.539 8.639 0.959

No. 2
14
Lattice="6.476 0.000 0.000 -2.159 8.162 0.000 -2.159 -4.081 7.068" Properties=species:S:1:pos:R:3 comment="Ho4Cd3 | Alexandria via LeMat-Bulk | PBE | optimized geometry" delta_e_f_ev_per_atom=-0.225 n_ef_per_ev_fu=9.64 space_group="No. 148" crystal_system=trigonal pbc="T T T"
Ho 3.238 0.000 0.000
Ho 0.000 0.000 0.000
Ho 3.254 3.467 3.935
Ho 1.095 3.021 1.035
Ho -1.064 5.755 2.099
Ho -1.095 0.614 3.134
Ho 1.064 1.060 6.033
Ho 3.222 -1.674 4.970
Cd -2.244 1.284 6.131
Cd -0.085 -1.870 5.115
Cd 2.074 0.586 2.891
Cd 4.402 2.797 0.938
Cd 2.244 5.951 1.954
Cd 0.085 3.495 4.177

No. 3
6
Lattice="-5.869 0.045 -0.517 -2.618 -3.281 -4.134 -3.131 -4.744 1.550" Properties=species:S:1:pos:R:3 comment="HoCd2 | Alexandria via LeMat-Bulk | PBE | optimized geometry" delta_e_f_ev_per_atom=-0.239 n_ef_per_ev_fu=2.69 space_group="No. 227" crystal_system=cubic pbc="T T T"
Ho 0.000 0.000 0.000
Ho -2.904 -1.995 -0.775
Cd -4.327 -5.010 -1.679
Cd -5.952 -3.347 0.129
Cd -7.261 -4.988 -1.938
Cd -5.696 -2.616 -2.713

No. 4
8
Lattice="7.513 0.006 0.010 3.745 6.508 0.036 3.748 2.186 6.659" Properties=species:S:1:pos:R:3 comment="HoCdI6 | Alexandria via LeMat-Bulk | PBE | optimized geometry" n_ef_per_ev_fu=13.32 space_group="No. 2" crystal_system=triclinic e_form_raw_ev_per_atom=-0.76 pbc="T T T"
Ho 7.503 4.350 3.353
Cd 0.000 0.000 0.000
I 4.972 4.404 5.001
I 8.721 2.139 5.010
I 6.208 2.189 1.684
I 6.285 6.560 1.696
I 10.033 4.296 1.705
I 8.798 6.511 5.021

No. 5
18
Lattice="-6.354 -4.208 1.947 5.002 -7.854 4.059 -0.509 3.065 9.671" Properties=species:S:1:pos:R:3 comment="HoCd2I6 | Alexandria via LeMat-Bulk | PBE | optimized geometry" n_ef_per_ev_fu=3.55 space_group="No. 15" crystal_system=monoclinic e_form_raw_ev_per_atom=-0.76 pbc="T T T"
Ho -1.615 1.057 9.667
Ho -0.246 -10.054 6.010
Cd 1.452 -2.964 10.201
Cd -1.164 -1.893 5.549
Cd -3.313 -6.033 5.476
Cd -0.697 -7.104 10.128
I 1.158 -5.427 8.759
I 1.161 -3.453 4.923
I -3.018 -3.570 6.917
I -3.022 -5.544 10.754
I -1.373 -9.567 8.706
I -0.741 -7.326 4.966
I -0.487 0.570 6.970
I -1.120 -1.671 10.710
I 2.846 -3.829 12.841
I -2.417 -1.306 2.766
I -4.706 -5.168 2.835
I 0.556 -7.691 12.911

No. 6
18
Lattice="7.807 0.000 0.000 -3.904 6.761 0.000 0.000 0.000 15.711" Properties=species:S:1:pos:R:3 comment="KHoCdI6 | Alexandria via LeMat-Bulk | PBE | optimized geometry" n_ef_per_ev_fu=0.00 space_group="No. 163" crystal_system=trigonal e_form_raw_ev_per_atom=-1.13 pbc="T T T"
K 0.000 0.000 0.000
K 0.000 0.000 7.856
Ho 0.000 4.508 3.928
Ho 3.904 2.254 11.783
Cd 3.904 2.254 3.928
Cd 0.000 4.508 11.783
I 2.462 4.271 2.171
I -1.436 2.493 2.171
I 2.877 0.003 10.027
I 5.340 4.268 13.540
I 1.436 2.493 5.684
I -2.462 4.271 5.684
I 4.930 0.003 13.540
I 1.026 6.758 5.684
I 6.366 2.490 10.027
I -1.026 6.758 2.171
I 2.468 4.268 10.027
I 1.441 2.490 13.540

No. 7
18
Lattice="7.833 0.000 0.000 -3.917 6.784 0.000 0.000 0.000 16.472" Properties=species:S:1:pos:R:3 comment="RbHoCdI6 | Alexandria via LeMat-Bulk | PBE | optimized geometry" n_ef_per_ev_fu=0.00 space_group="No. 163" crystal_system=trigonal e_form_raw_ev_per_atom=-1.14 pbc="T T T"
Rb 0.000 0.000 0.000
Rb 0.000 0.000 8.236
Ho 0.000 4.523 4.118
Ho 3.917 2.261 12.354
Cd 3.917 2.261 4.118
Cd 0.000 4.523 12.354
I 2.457 4.262 2.356
I -1.455 2.525 2.356
I 2.914 0.003 10.592
I 5.371 4.259 14.116
I 1.455 2.525 5.880
I -2.457 4.262 5.880
I 4.919 0.003 14.116
I 1.003 6.781 5.880
I 6.374 2.522 10.592
I -1.003 6.781 2.356
I 2.462 4.259 10.592
I 1.459 2.522 14.116

No. 8
18
Lattice="-0.261 -0.939 7.737 3.471 -5.370 -4.465 13.346 7.496 1.360" Properties=species:S:1:pos:R:3 comment="HoTlCdI6 | Alexandria via LeMat-Bulk | PBE | optimized geometry" n_ef_per_ev_fu=0.00 space_group="No. 163" crystal_system=trigonal e_form_raw_ev_per_atom=-0.94 pbc="T T T"
Ho 5.563 -2.019 -0.057
Ho 10.993 3.206 4.690
Tl 0.000 0.000 0.000
Tl 6.673 3.748 0.680
Cd 4.319 -0.542 4.010
Cd 12.237 1.729 0.623
I 3.849 -2.974 2.257
I 2.829 -1.888 6.284
I 11.865 -0.945 -0.761
I 13.727 3.075 -1.651
I 6.033 0.413 1.696
I 6.792 -1.611 5.405
I 14.835 0.511 1.609
I 4.691 2.132 5.394
I 9.764 2.798 -0.772
I 1.721 0.676 3.024
I 10.523 0.774 2.937
I 12.707 4.161 2.375

No. 9
10
Lattice="5.089 0.000 0.000 -2.545 4.408 0.000 0.000 0.000 12.308" Properties=species:S:1:pos:R:3 comment="HoCd2In2 | Alexandria via LeMat-Bulk | PBE | optimized geometry" delta_e_f_ev_per_atom=-0.021 n_ef_per_ev_fu=3.42 space_group="No. 194" crystal_system=hexagonal pbc="T T T"
Ho 0.000 0.000 3.077
Ho 0.000 0.000 9.231
Cd 0.000 2.938 7.580
Cd 2.545 1.469 1.426
Cd 2.545 1.469 4.728
Cd 0.000 2.938 10.882
In 2.545 1.469 9.231
In 0.000 0.000 0.000
In 0.000 0.000 6.154
In 0.000 2.938 3.077

No. 10
4
Lattice="-1.451 4.935 0.144 -4.366 1.466 -2.295 -4.052 1.409 2.841" Properties=species:S:1:pos:R:3 comment="HoCd2In | Alexandria via LeMat-Bulk | PBE | optimized geometry" delta_e_f_ev_per_atom=-0.214 n_ef_per_ev_fu=0.62 space_group="No. 225" crystal_system=cubic pbc="T T T"
Cd -2.467 1.952 0.173
Cd -7.402 5.857 0.518
Ho 0.000 0.000 0.000
In -4.935 3.905 0.345

No. 11
4
Lattice="-5.466 0.996 -1.705 -1.430 0.429 4.837 0.112 4.518 2.281" Properties=species:S:1:pos:R:3 comment="HoCd2In | Alexandria via LeMat-Bulk | PBE | optimized geometry" delta_e_f_ev_per_atom=0.431 n_ef_per_ev_fu=4.12 space_group="No. 187" crystal_system=hexagonal pbc="T T T"
Ho 0.000 0.000 0.000
Cd -2.733 0.498 -0.852
Cd -3.172 2.147 1.521
In -3.612 3.796 3.894

No. 12
14
Lattice="8.032 0.012 -0.021 -2.706 7.563 0.021 -2.620 -3.818 6.563" Properties=species:S:1:pos:R:3 comment="Ho8CdIn5 | Alexandria via LeMat-Bulk | PBE | optimized geometry" delta_e_f_ev_per_atom=-0.269 n_ef_per_ev_fu=18.11 space_group="No. 82" crystal_system=tetragonal pbc="T T T"
Ho -1.063 5.583 0.227
Ho 5.609 -1.989 4.720
Ho 4.525 0.462 2.376
Ho 1.723 -0.323 5.769
Ho 1.609 3.640 1.552
Ho 0.287 3.503 5.700
Ho 0.579 0.417 2.481
Ho -2.445 3.736 3.430
Cd -1.310 0.921 4.928
In -1.296 2.344 0.865
In 3.967 5.710 1.610
In 2.717 2.317 4.146
In 2.706 -1.903 3.271
In 0.024 -2.856 6.506